Record 1
The following is a DFT calculation (PBE) of a geometry-optimized ZrIrN2F structure. Values from VASP.

Space-group type ... No. 123
Polymorph energy (0 for the lowest one) ... 0.00 eV per formula unit
M_tot ... 0.00 μB per cell

Cell and atoms, written as Quantum ESPRESSO input:
```
&SYSTEM
  ibrav = 0, nat = 5, ntyp = 4
/
ATOMIC_SPECIES
N 14.01 N.upf
F 19.00 F.upf
Ir 192.22 Ir.upf
Zr 91.22 Zr.upf
CELL_PARAMETERS angstrom
3.914 0.000 0.000
0.000 3.914 0.000
0.000 0.000 4.131
ATOMIC_POSITIONS angstrom
N 1.957 0.000 0.000
N 0.000 1.957 0.000
F 0.000 0.000 2.066
Ir 0.000 0.000 0.000
Zr 1.957 1.957 2.066
```

=====

Record 2
The following is a DFT calculation (PBE) of a geometry-optimized ZrIrN2F structure. Values from VASP.

Space-group type ... No. 123
Polymorph energy (0 for the lowest one) ... 0.85 eV per formula unit
M_tot ... 0.92 μB per cell

Cell and atoms, written as Quantum ESPRESSO input:
```
&SYSTEM
  ibrav = 0, nat = 5, ntyp = 4
/
ATOMIC_SPECIES
N 14.01 N.upf
Zr 91.22 Zr.upf
F 19.00 F.upf
Ir 192.22 Ir.upf
CELL_PARAMETERS angstrom
-0.380 4.233 -0.481
-1.864 -0.600 -3.802
-3.548 -0.119 1.759
ATOMIC_POSITIONS angstrom
N -0.190 2.116 -0.241
N -0.932 -0.300 -1.901
Zr 0.000 0.000 0.000
F -1.774 -0.059 0.879
Ir -2.896 1.757 -1.262
```

=====

Record 3
The following is a DFT calculation (PBE) of a geometry-optimized Na2IrF6 structure. Values from VASP.

Space-group type ... No. 136
DFT total energy ... -83.9 eV per cell
M_tot ... 2.03 μB per cell

Cell and atoms, written as Quantum ESPRESSO input:
```
&SYSTEM
  ibrav = 0, nat = 18, ntyp = 3
/
ATOMIC_SPECIES
F 19.00 F.upf
Na 22.99 Na.upf
Ir 192.22 Ir.upf
CELL_PARAMETERS angstrom
5.085 0.000 0.000
0.000 5.085 0.000
0.000 0.000 10.240
ATOMIC_POSITIONS angstrom
F 1.611 1.611 6.600
F 0.931 4.153 8.759
F 3.474 3.474 3.640
F 4.153 0.931 1.480
F 4.153 0.931 8.759
F 3.925 1.160 5.120
F 1.382 1.382 0.000
F 3.703 3.703 0.000
F 3.474 3.474 6.600
F 0.931 4.153 1.480
F 1.160 3.925 5.120
F 1.611 1.611 3.640
Na 0.000 0.000 3.426
Na 2.542 2.542 8.546
Na 0.000 0.000 6.814
Na 2.542 2.542 1.694
Ir 2.542 2.542 5.120
Ir 0.000 0.000 0.000
```

=====

Record 4
The following is a DFT calculation (PBE) of a geometry-optimized Na2IrF8 structure. Values from VASP.

Space-group type ... No. 12
Polymorph energy (0 for the lowest one) ... 0.40 eV per formula unit
M_tot ... 1.35 μB per cell

Cell and atoms, written as Quantum ESPRESSO input:
```
&SYSTEM
  ibrav = 0, nat = 11, ntyp = 3
/
ATOMIC_SPECIES
F 19.00 F.upf
Na 22.99 Na.upf
Ir 192.22 Ir.upf
CELL_PARAMETERS angstrom
-1.273 3.364 0.455
-3.720 -1.792 2.843
6.492 -0.142 4.765
ATOMIC_POSITIONS angstrom
F 1.656 0.216 3.037
F 2.557 0.158 5.981
F -2.705 0.392 3.975
F 4.205 1.038 4.089
F 4.293 2.814 5.640
F -0.156 1.214 5.027
F -2.793 -1.384 2.424
F -1.057 1.272 2.083
Na -0.391 -0.658 3.772
Na 1.891 2.088 4.291
Ir -0.636 1.682 0.228
```

=====

Record 5
The following is a DFT calculation (PBE) of a geometry-optimized Na4IrF10 structure. Values from VASP.

Space-group type ... No. 87
DFT total energy ... -63.9 eV per cell
M_tot ... 1.08 μB per cell

Cell and atoms, written as Quantum ESPRESSO input:
```
&SYSTEM
  ibrav = 0, nat = 15, ntyp = 3
/
ATOMIC_SPECIES
F 19.00 F.upf
Na 22.99 Na.upf
Ir 192.22 Ir.upf
CELL_PARAMETERS angstrom
4.816 0.000 2.175
2.408 6.057 1.087
-0.084 0.000 6.607
ATOMIC_POSITIONS angstrom
F 3.294 4.460 1.948
F 6.739 5.637 7.937
F 4.039 5.637 6.718
F 0.401 0.420 1.933
F 3.101 0.420 3.152
F 2.366 3.028 4.391
F 5.993 4.460 3.167
F 1.146 1.596 6.703
F 4.774 3.028 5.478
F 3.846 1.596 7.922
Na 3.820 4.785 4.380
Na 5.255 3.637 7.623
Na 3.320 1.271 5.489
Na 1.885 2.420 2.246
Ir 0.000 0.000 0.000
```

=====

Record 6
The following is a DFT calculation (PBE) of a geometry-optimized Na2IrF8 structure. Values from VASP.

Space-group type ... No. 2
Polymorph energy (0 for the lowest one) ... 0.00 eV per formula unit
M_tot ... 1.01 μB per cell

Cell and atoms, written as Quantum ESPRESSO input:
```
&SYSTEM
  ibrav = 0, nat = 11, ntyp = 3
/
ATOMIC_SPECIES
F 19.00 F.upf
Ir 192.22 Ir.upf
Na 22.99 Na.upf
CELL_PARAMETERS angstrom
3.526 0.045 0.198
-1.747 5.801 -1.452
0.424 -0.063 7.937
ATOMIC_POSITIONS angstrom
F 1.548 3.738 3.063
F -0.069 4.931 0.392
F 0.656 2.046 3.620
F 0.485 3.812 6.166
F -0.063 0.469 1.015
F 1.719 1.972 0.518
F 2.266 5.315 5.668
F 2.273 0.853 6.291
Ir 1.763 0.023 0.099
Na 2.330 2.764 5.051
Na -0.126 3.020 1.633
```

=====

Record 7
The following is a DFT calculation (PBE) of a geometry-optimized NaIr2F11 structure. Values from VASP.

Space-group type ... No. 72
DFT total energy ... -125.8 eV per cell
M_tot ... 8.01 μB per cell

Cell and atoms, written as Quantum ESPRESSO input:
```
&SYSTEM
  ibrav = 0, nat = 28, ntyp = 3
/
ATOMIC_SPECIES
F 19.00 F.upf
Ir 192.22 Ir.upf
Na 22.99 Na.upf
CELL_PARAMETERS angstrom
8.156 0.000 4.251
3.698 6.944 2.854
0.847 0.162 8.324
ATOMIC_POSITIONS angstrom
F 6.981 5.825 11.704
F 9.646 5.590 7.343
F 3.055 1.516 8.086
F 7.420 2.199 9.661
F 5.624 0.866 8.039
F 1.513 0.536 2.296
F 4.703 2.678 9.806
F 7.998 4.427 5.623
F 8.853 2.849 11.794
F 5.720 1.280 3.725
F 1.618 1.036 5.776
F 7.077 6.240 7.390
F 6.351 3.553 7.714
F 3.848 4.257 3.635
F 11.188 6.570 13.133
F 5.281 4.907 5.768
F 11.083 6.069 9.653
F 8.177 4.833 9.410
F 3.601 4.088 7.789
F 9.100 3.017 7.640
F 4.524 2.272 6.019
F 0.000 0.000 0.000
Ir 4.640 2.494 7.909
Ir 8.183 1.220 11.062
Ir 4.519 5.885 4.367
Ir 8.061 4.611 7.520
Na 3.175 1.776 3.857
Na 9.526 5.329 11.572
```

=====

Record 8
The following is a DFT calculation (PBE) of a geometry-optimized NaIrF6 structure. Values from VASP.

Space-group type ... No. 12
DFT total energy ... -36.3 eV per cell
M_tot ... 2.00 μB per cell

Cell and atoms, written as Quantum ESPRESSO input:
```
&SYSTEM
  ibrav = 0, nat = 8, ntyp = 3
/
ATOMIC_SPECIES
Ir 192.22 Ir.upf
F 19.00 F.upf
Na 22.99 Na.upf
CELL_PARAMETERS angstrom
5.006 0.247 -0.064
0.623 4.973 -0.064
1.523 1.413 4.800
ATOMIC_POSITIONS angstrom
Ir 0.000 0.000 0.000
F 1.589 4.031 1.295
F 3.013 5.352 3.378
F 2.921 2.709 4.610
F 5.563 2.602 3.378
F 4.139 1.281 1.295
F 4.231 3.924 0.063
Na 3.576 3.317 2.336
```

=====

Record 9
The following is a DFT calculation (PBE) of a geometry-optimized NaIr2F8 structure. Values from VASP.

Space-group type ... No. 164
DFT total energy ... -47.9 eV per cell
M_tot ... 4.30 μB per cell

Cell and atoms, written as Quantum ESPRESSO input:
```
&SYSTEM
  ibrav = 0, nat = 11, ntyp = 3
/
ATOMIC_SPECIES
Ir 192.22 Ir.upf
F 19.00 F.upf
Na 22.99 Na.upf
CELL_PARAMETERS angstrom
-0.398 0.291 -4.036
3.616 -6.055 -0.794
-7.062 -0.148 0.685
ATOMIC_POSITIONS angstrom
Ir -3.602 -2.045 -0.811
Ir -0.242 -3.867 -3.333
F -1.919 -1.029 -0.896
F -0.043 -4.013 -1.316
F -3.801 -1.899 -2.829
F 1.466 -4.812 -3.578
F -0.270 -1.905 -3.197
F -3.574 -4.007 -0.948
F -1.925 -4.883 -3.249
F -5.310 -1.100 -0.567
Na -0.199 0.146 -2.018
```

=====

Record 10
The following is a DFT calculation (PBE) of a geometry-optimized Na2IrF4 structure. Values from VASP.

Space-group type ... No. 139
DFT total energy ... -31.6 eV per cell
M_tot ... 1.00 μB per cell

Cell and atoms, written as Quantum ESPRESSO input:
```
&SYSTEM
  ibrav = 0, nat = 7, ntyp = 3
/
ATOMIC_SPECIES
F 19.00 F.upf
Ir 192.22 Ir.upf
Na 22.99 Na.upf
CELL_PARAMETERS angstrom
5.740 0.000 0.000
0.000 5.740 0.000
-2.870 -2.870 3.217
ATOMIC_POSITIONS angstrom
F 4.277 4.277 0.000
F 1.463 1.463 0.000
F 1.407 -1.407 3.217
F -1.407 1.407 3.217
Ir 2.870 2.870 0.000
Na 0.000 2.870 1.608
Na 2.870 0.000 1.608
```

=====

Record 11
The following is a DFT calculation (PBE) of a geometry-optimized Na3IrF8 structure. Values from VASP.

Space-group type ... No. 221
DFT total energy ... -53.2 eV per cell
M_tot ... 0.00 μB per cell

Cell and atoms, written as Quantum ESPRESSO input:
```
&SYSTEM
  ibrav = 0, nat = 12, ntyp = 3
/
ATOMIC_SPECIES
F 19.00 F.upf
Na 22.99 Na.upf
Ir 192.22 Ir.upf
CELL_PARAMETERS angstrom
-0.119 4.830 -2.194
-0.911 -2.180 -4.751
-5.226 0.270 0.878
ATOMIC_POSITIONS angstrom
F -1.388 0.648 -1.346
F -1.961 2.122 -5.209
F -1.894 -0.565 -3.989
F -1.454 3.335 -2.566
F -4.361 3.485 -2.078
F -4.802 -0.415 -3.500
F -4.295 0.798 -0.857
F -4.868 2.272 -4.721
Na -2.672 2.550 -0.658
Na -3.068 -0.955 -1.936
Na -0.515 1.325 -3.472
Ir 0.000 0.000 0.000
```